Here is crystalline CoSb3C at its relaxed geometry from the Alexandria database. Energies are from PBE-GGA.

a = 4.6671 Å, b = 4.6671 Å, c = 4.6671 Å
α = 90.00°, β = 90.00°, γ = 90.00°
With the nearest neighbours (Å) after each atom.
Fractional coordinates of all 5 atoms:
Co 0.0000 0.0000 0.0000  12 Sb 3.30
Sb 0.0000 0.5000 0.5000  2 C 2.33
Sb 0.5000 0.0000 0.5000  2 C 2.33
Sb 0.5000 0.5000 0.0000  2 C 2.33
C 0.5000 0.5000 0.5000  6 Sb 2.33

Properties
**Energy relative to the lowest polymorph listed for this composition**: 0.00 eV/f.u.
**Formation energy from raw total energies**: 1249 meV per atom
**Total magnetic moment**: 1.139 μB per formula unit